A plane-wave DFT calculation with GGA-PBE was carried out for crystalline Th3CoPbC at its relaxed geometry.

Properties
**Energy**: -44.1 eV per formula unit
**Formation energy from the elements**: -1.8 eV/f.u.
**SG**: P2_1/m (11)
**Crystal system**: monoclinic
**Spin magnetization**: 0.000 μB/f.u.

Cell lengths 3.8124, 9.0778, 9.2847 Å; angles 112.57, 90.00, 90.00 degrees
With the nearest neighbours (Å) after each atom.
Fractional positions:
Co: 0.2500 0.0547 0.4346  2 Co 2.65, 4 Th 2.65-2.94, 1 Pb 2.77
Co: 0.7500 0.9453 0.5654  2 Co 2.65, 4 Th 2.65-2.94, 1 Pb 2.77
Th: 0.7500 0.2729 0.5448  1 C 2.56, 2 Co 2.65
Th: 0.2500 0.1335 0.8075  2 C 2.64, 2 Co 2.94
Th: 0.7500 0.8665 0.1925  2 C 2.64, 2 Co 2.94
Th: 0.2500 0.7271 0.4552  1 C 2.56, 2 Co 2.65
Th: 0.7500 0.4507 0.1360  3 C 2.54-2.61
Th: 0.2500 0.5493 0.8640  3 C 2.54-2.61
C: 0.7500 0.3456 0.8404  6 Th 2.54-2.64
C: 0.2500 0.6544 0.1596  6 Th 2.54-2.64
Pb: 0.7500 0.8097 0.7863  1 Co 2.77
Pb: 0.2500 0.1903 0.2137  1 Co 2.77